Entry 1:
An optimized crystal structure of KTaBe2, computed with GGA-PBE.

- Space group: C2/m
- Distance to the lowest polymorph of the same formula: 0.161 eV/atom
- Energy: -4.275 eV per atom
- DFT formation energy: 3.30 eV/f.u.

a b c (Å): 4.683 4.683 7.093
angles (deg): 84.52 84.52 32.50
Site moments in Bohr magnetons follow the coordinates.
Positions (direct):
K: 0.250 0.250 0.250  0.00
Ta: 0.750 0.750 0.750  0.10
Be: 0.010 0.010 0.875  0.00
Be: 0.490 0.490 0.625  0.00

***

Entry 2:
An optimized crystal structure of TaIrPdRh, computed with GGA-PBE.

- Space group: Pmmm
- Energy: -8.848 eV per atom
- DFT formation energy: -2.13 eV/f.u.

a b c (Å): 3.830 3.967 3.994
angles (deg): 90.00 90.00 90.00
Positions (direct):
Ir: 0.000 0.500 0.500
Pd: 0.500 0.500 0.000
Ta: 0.500 0.000 0.500
Rh: 0.000 0.000 0.000

***

Entry 3:
An optimized crystal structure of Rb2NaGeF6, computed with GGA-PBE.

- Space group: Fm-3m
- Energy: -4.487 eV per atom

a b c (Å): 6.162 6.162 6.162
angles (deg): 60.00 60.00 90.00
Site moments in Bohr magnetons follow the coordinates.
Positions (direct):
F: 0.767 0.767 0.000  0.07
F: 0.233 0.233 0.535  0.07
F: 0.233 0.767 0.000  0.07
F: 0.767 0.233 0.000  0.07
F: 0.233 0.233 0.000  0.07
F: 0.767 0.767 0.465  0.07
Ge: 0.000 0.000 0.000  0.34
Rb: 0.250 0.750 0.500  0.00
Rb: 0.750 0.250 0.500  0.00
Na: 0.500 0.500 0.000  0.01

***

Entry 4:
An optimized crystal structure of AcRhI, computed with GGA-PBE.

- Space group: I4mm
- Distance to the lowest polymorph of the same formula: 0.561 eV/atom
- Energy: -4.858 eV per atom

a b c (Å): 4.146 4.146 6.722
angles (deg): 107.96 107.96 90.00
Positions (direct):
Rh: 0.239 0.239 0.479
Ac: 0.740 0.740 0.480
I: 0.021 0.021 0.041

***

Entry 5:
An optimized crystal structure of Ba12Bi3P5, computed with GGA-PBE.

- Space group: Ia-3d
- Energy: -3.962 eV per atom
- DFT formation energy: -17.47 eV/f.u.

a b c (Å): 17.043 17.043 17.043
angles (deg): 109.47 109.47 109.47
Positions (direct):
Ba: 0.415 0.290 0.324
Ba: 0.908 0.824 0.534
Ba: 0.034 0.626 0.710
Ba: 0.592 0.966 0.676
Ba: 0.126 0.415 0.092
Ba: 0.176 0.092 0.966
Ba: 0.408 0.374 0.585
Ba: 0.534 0.210 0.126
Ba: 0.176 0.085 0.710
Ba: 0.408 0.034 0.324
Ba: 0.290 0.874 0.966
Ba: 0.790 0.324 0.915
Ba: 0.966 0.374 0.290
Ba: 0.324 0.534 0.408
Ba: 0.676 0.466 0.592
Ba: 0.466 0.676 0.092
Ba: 0.126 0.710 0.534
Ba: 0.915 0.092 0.626
Ba: 0.966 0.592 0.176
Ba: 0.585 0.874 0.408
Ba: 0.092 0.176 0.466
Ba: 0.415 0.126 0.592
Ba: 0.290 0.415 0.824
Ba: 0.824 0.908 0.034
Ba: 0.676 0.210 0.585
Ba: 0.710 0.585 0.176
Ba: 0.534 0.324 0.908
Ba: 0.466 0.790 0.874
Ba: 0.374 0.966 0.790
Ba: 0.915 0.824 0.790
Ba: 0.210 0.676 0.085
Ba: 0.874 0.290 0.466
Ba: 0.034 0.408 0.824
Ba: 0.824 0.915 0.290
Ba: 0.626 0.034 0.210
Ba: 0.092 0.915 0.126
Ba: 0.908 0.085 0.874
Ba: 0.790 0.466 0.374
Ba: 0.874 0.585 0.908
Ba: 0.626 0.592 0.915
Ba: 0.085 0.176 0.210
Ba: 0.374 0.408 0.085
Ba: 0.210 0.534 0.626
Ba: 0.085 0.908 0.374
Ba: 0.592 0.626 0.415
Ba: 0.585 0.710 0.676
Ba: 0.324 0.790 0.415
Ba: 0.710 0.126 0.034
P: 0.000 0.000 0.000
P: 0.500 0.000 0.500
P: 0.500 0.000 0.000
P: 0.625 0.875 0.250
P: 0.500 0.500 0.500
P: 0.125 0.750 0.375
P: 0.875 0.250 0.625
P: 0.000 0.000 0.500
P: 0.250 0.375 0.625
P: 0.125 0.375 0.250
P: 0.625 0.750 0.875
P: 0.250 0.875 0.125
P: 0.000 0.500 0.500
P: 0.375 0.250 0.125
P: 0.750 0.125 0.875
P: 0.875 0.625 0.750
P: 0.000 0.500 0.000
P: 0.750 0.625 0.375
P: 0.500 0.500 0.000
P: 0.375 0.125 0.750
Bi: 0.750 0.375 0.125
Bi: 0.875 0.125 0.250
Bi: 0.250 0.625 0.875
Bi: 0.875 0.750 0.125
Bi: 0.250 0.125 0.375
Bi: 0.125 0.250 0.875
Bi: 0.625 0.250 0.375
Bi: 0.375 0.750 0.625
Bi: 0.625 0.375 0.750
Bi: 0.125 0.875 0.750
Bi: 0.375 0.625 0.250
Bi: 0.750 0.875 0.625

***

Entry 6:
An optimized crystal structure of NaTlIr2Os, computed with GGA-PBE.

- Space group: P4/mmm
- Energy: -4.124 eV per atom
- DFT formation energy: 12.02 eV/f.u.

a b c (Å): 4.571 4.590 4.571
angles (deg): 90.00 90.00 90.00
Site moments in Bohr magnetons follow the coordinates.
Positions (direct):
Os: 0.000 0.500 0.000  1.28
Tl: 0.500 0.500 0.500  0.02
Ir: 0.000 0.000 0.500  0.33
Ir: 0.500 0.000 0.000  0.26
Na: 0.000 0.000 0.000  0.01